[1]
VASP calculation (SCAN) on a PBEsol-optimized structure of SbWSe2.

Results
- Formation energy from raw total energies: 928 meV per atom

```
data_SbWSe2
_space_group_name_H-M_alt 'P 1'
_space_group_IT_number 1
_cell_length_a 4.361
_cell_length_b 4.966
_cell_length_c 4.361
_cell_angle_alpha 116.05
_cell_angle_beta 90.00
_cell_angle_gamma 116.05
loop_
_space_group_symop_operation_xyz
'x,y,z'
loop_
_atom_site_label
_atom_site_type_symbol
_atom_site_fract_x
_atom_site_fract_y
_atom_site_fract_z
Sb1 Sb 0.250 0.500 0.750
Se1 Se 0.000 0.000 0.000
Se2 Se 0.750 0.500 0.250
W1 W 0.500 0.000 0.500
```

---

[2]
VASP calculation (SCAN) on a PBEsol-optimized structure of ZrCuO2F.

Results
- Formation energy from raw total energies: -1457 meV per atom

```
data_ZrCuO2F
_space_group_name_H-M_alt 'P 1'
_space_group_IT_number 1
_cell_length_a 3.722
_cell_length_b 3.800
_cell_length_c 3.800
_cell_angle_alpha 90.00
_cell_angle_beta 90.00
_cell_angle_gamma 90.00
loop_
_space_group_symop_operation_xyz
'x,y,z'
loop_
_atom_site_label
_atom_site_type_symbol
_atom_site_fract_x
_atom_site_fract_y
_atom_site_fract_z
O1 O 0.000 0.000 0.500
O2 O 0.000 0.500 0.000
Cu1 Cu 0.000 0.000 0.000
Zr1 Zr 0.500 0.500 0.500
F1 F 0.500 0.000 0.000
```

---

[3]
VASP calculation (SCAN) on a PBEsol-optimized structure of BeFeSi2.

Results
- Formation energy from raw total energies: -21 meV per atom

```
data_BeFeSi2
_space_group_name_H-M_alt 'P 1'
_space_group_IT_number 1
_cell_length_a 2.728
_cell_length_b 3.691
_cell_length_c 4.461
_cell_angle_alpha 90.00
_cell_angle_beta 107.80
_cell_angle_gamma 90.00
loop_
_space_group_symop_operation_xyz
'x,y,z'
loop_
_atom_site_label
_atom_site_type_symbol
_atom_site_fract_x
_atom_site_fract_y
_atom_site_fract_z
Be1 Be 0.826 0.000 0.652
Si1 Si 0.092 0.000 0.184
Si2 Si 0.407 0.500 0.814
Fe1 Fe 0.682 0.500 0.364
```

---

[4]
VASP calculation (SCAN) on a PBEsol-optimized structure of LiMgIr2.

Results
- Formation energy: -16.8 kJ/mol of atoms

```
data_LiMgIr2
_space_group_name_H-M_alt 'P 1'
_space_group_IT_number 1
_cell_length_a 2.691
_cell_length_b 4.833
_cell_length_c 4.833
_cell_angle_alpha 115.18
_cell_angle_beta 90.00
_cell_angle_gamma 90.00
loop_
_space_group_symop_operation_xyz
'x,y,z'
loop_
_atom_site_label
_atom_site_type_symbol
_atom_site_fract_x
_atom_site_fract_y
_atom_site_fract_z
Ir1 Ir 0.000 0.500 0.000
Ir2 Ir 0.000 0.000 0.500
Li1 Li 0.500 0.000 0.000
Mg1 Mg 0.500 0.500 0.500
```

---

[5]
VASP calculation (SCAN) on a PBEsol-optimized structure of TcTe2As.

Results
- Formation energy from raw total energies: 310 meV per atom

```
data_TcTe2As
_space_group_name_H-M_alt 'P 1'
_space_group_IT_number 1
_cell_length_a 3.325
_cell_length_b 3.317
_cell_length_c 9.129
_cell_angle_alpha 100.83
_cell_angle_beta 90.00
_cell_angle_gamma 120.08
loop_
_space_group_symop_operation_xyz
'x,y,z'
loop_
_atom_site_label
_atom_site_type_symbol
_atom_site_fract_x
_atom_site_fract_y
_atom_site_fract_z
As1 As 0.500 0.000 0.000
Te1 Te 0.740 0.479 0.713
Te2 Te 0.260 0.521 0.287
Tc1 Tc 0.000 0.000 0.500
```

---

[6]
VASP calculation (SCAN) on a PBEsol-optimized structure of Be2InRh2.

Results
- Energy above the most stable polymorph in this dataset: 0.228 eV per atom
- Formation energy: -34.9 kJ/mol of atoms

```
data_Be2InRh2
_space_group_name_H-M_alt 'P 1'
_space_group_IT_number 1
_cell_length_a 3.075
_cell_length_b 3.075
_cell_length_c 7.144
_cell_angle_alpha 102.43
_cell_angle_beta 102.43
_cell_angle_gamma 90.00
loop_
_space_group_symop_operation_xyz
'x,y,z'
loop_
_atom_site_label
_atom_site_type_symbol
_atom_site_fract_x
_atom_site_fract_y
_atom_site_fract_z
Be1 Be 0.250 0.750 0.500
Be2 Be 0.750 0.250 0.500
Rh1 Rh 0.377 0.377 0.753
Rh2 Rh 0.623 0.623 0.247
In1 In 0.000 0.000 0.000
```

---

[7]
VASP calculation (SCAN) on a PBEsol-optimized structure of NaAsAu3.

Results
- Formation energy: -6.8 kJ/mol of atoms

```
data_NaAsAu3
_space_group_name_H-M_alt 'P 1'
_space_group_IT_number 1
_cell_length_a 4.919
_cell_length_b 4.919
_cell_length_c 4.919
_cell_angle_alpha 90.00
_cell_angle_beta 90.00
_cell_angle_gamma 90.00
loop_
_space_group_symop_operation_xyz
'x,y,z'
loop_
_atom_site_label
_atom_site_type_symbol
_atom_site_fract_x
_atom_site_fract_y
_atom_site_fract_z
Na1 Na 0.500 0.500 0.500
As1 As 0.000 0.000 0.000
Au1 Au 0.000 0.500 0.000
Au2 Au 0.000 0.000 0.500
Au3 Au 0.500 0.000 0.000
```

---

[8]
VASP calculation (SCAN) on a PBEsol-optimized structure of BiO2.

Results
- Energy above the most stable polymorph in this dataset: 0.063 eV per atom
- Formation energy from raw total energies: -816 meV per atom

```
data_BiO2
_space_group_name_H-M_alt 'P 1'
_space_group_IT_number 1
_cell_length_a 3.422
_cell_length_b 10.693
_cell_length_c 11.724
_cell_angle_alpha 90.00
_cell_angle_beta 90.00
_cell_angle_gamma 90.00
loop_
_space_group_symop_operation_xyz
'x,y,z'
loop_
_atom_site_label
_atom_site_type_symbol
_atom_site_fract_x
_atom_site_fract_y
_atom_site_fract_z
Bi1 Bi 0.000 0.587 0.679
Bi2 Bi 0.500 0.917 0.112
Bi3 Bi 0.000 0.087 0.321
Bi4 Bi 0.500 0.417 0.888
Bi5 Bi 0.500 0.421 0.391
Bi6 Bi 0.000 0.562 0.165
Bi7 Bi 0.500 0.921 0.609
Bi8 Bi 0.000 0.062 0.835
O1 O 0.000 0.054 0.654
O2 O 0.500 0.935 0.802
O3 O 0.000 0.554 0.346
O4 O 0.500 0.435 0.198
O5 O 0.000 0.008 0.005
O6 O 0.500 0.040 0.429
O7 O 0.000 0.508 0.995
O8 O 0.500 0.540 0.571
O9 O 0.000 0.408 0.759
O10 O 0.500 0.606 0.798
O11 O 0.000 0.908 0.241
O12 O 0.500 0.106 0.202
O13 O 0.500 0.187 0.853
O14 O 0.000 0.774 0.633
O15 O 0.000 0.274 0.367
O16 O 0.500 0.687 0.147
```

---

[9]
VASP calculation (SCAN) on a PBEsol-optimized structure of SiRh7.

Results
- Formation energy from raw total energies: -227 meV per atom

```
data_SiRh7
_space_group_name_H-M_alt 'P 1'
_space_group_IT_number 1
_cell_length_a 5.315
_cell_length_b 5.315
_cell_length_c 5.315
_cell_angle_alpha 60.00
_cell_angle_beta 60.00
_cell_angle_gamma 60.00
loop_
_space_group_symop_operation_xyz
'x,y,z'
loop_
_atom_site_label
_atom_site_type_symbol
_atom_site_fract_x
_atom_site_fract_y
_atom_site_fract_z
Rh1 Rh 0.000 0.000 0.500
Rh2 Rh 0.000 0.500 0.000
Rh3 Rh 0.500 0.000 0.000
Rh4 Rh 0.500 0.500 0.000
Rh5 Rh 0.500 0.000 0.500
Rh6 Rh 0.000 0.500 0.500
Rh7 Rh 0.500 0.500 0.500
Si1 Si 0.000 0.000 0.000
```

---

[10]
VASP calculation (SCAN) on a PBEsol-optimized structure of NaPd2Pt.

Results
- Formation energy: 3.7 kJ/mol of atoms

```
data_NaPd2Pt
_space_group_name_H-M_alt 'P 1'
_space_group_IT_number 1
_cell_length_a 4.435
_cell_length_b 4.435
_cell_length_c 4.435
_cell_angle_alpha 60.00
_cell_angle_beta 60.00
_cell_angle_gamma 60.00
loop_
_space_group_symop_operation_xyz
'x,y,z'
loop_
_atom_site_label
_atom_site_type_symbol
_atom_site_fract_x
_atom_site_fract_y
_atom_site_fract_z
Na1 Na 0.000 0.000 0.000
Pd1 Pd 0.250 0.250 0.250
Pd2 Pd 0.750 0.750 0.750
Pt1 Pt 0.500 0.500 0.500
```

---

[11]
VASP calculation (SCAN) on a PBEsol-optimized structure of RbNaGe2H.

Results
- Uncorrected energy: -61.31 eV for the cell shown

```
data_RbNaGe2H
_space_group_name_H-M_alt 'P 1'
_space_group_IT_number 1
_cell_length_a 5.070
_cell_length_b 5.070
_cell_length_c 6.883
_cell_angle_alpha 90.00
_cell_angle_beta 90.00
_cell_angle_gamma 90.00
loop_
_space_group_symop_operation_xyz
'x,y,z'
loop_
_atom_site_label
_atom_site_type_symbol
_atom_site_fract_x
_atom_site_fract_y
_atom_site_fract_z
Na1 Na 0.000 0.000 0.000
Ge1 Ge 0.000 0.500 0.000
Ge2 Ge 0.500 0.000 0.000
Rb1 Rb 0.000 0.000 0.500
H1 H 0.500 0.500 0.500
```

---

[12]
VASP calculation (SCAN) on a PBEsol-optimized structure of CsAg3Sb.

Results
- Formation energy from raw total energies: 1517 meV per atom

```
data_CsAg3Sb
_space_group_name_H-M_alt 'P 1'
_space_group_IT_number 1
_cell_length_a 5.535
_cell_length_b 5.535
_cell_length_c 5.535
_cell_angle_alpha 90.00
_cell_angle_beta 90.00
_cell_angle_gamma 90.00
loop_
_space_group_symop_operation_xyz
'x,y,z'
loop_
_atom_site_label
_atom_site_type_symbol
_atom_site_fract_x
_atom_site_fract_y
_atom_site_fract_z
Cs1 Cs 0.000 0.000 0.000
Sb1 Sb 0.500 0.500 0.500
Ag1 Ag 0.000 0.500 0.000
Ag2 Ag 0.000 0.000 0.500
Ag3 Ag 0.500 0.000 0.000
```